Entry 1:
Zr5CuPd: optimized geometry, PBE.

## Properties
For the calculated total energy, the calculation gives -103.2 eV for the cell shown. The energy relative to the elements is 63 meV per atom.

The structure in POSCAR format:
```
Zr5CuPd
1.0
-3.127 -4.245 -2.572
3.336 -4.404 -1.974
-0.788 -8.254 6.334
Zr Cu Pd
10 2 2
direct
0.015 0.526 0.177 Zr
0.246 0.488 0.505 Zr
0.526 0.015 0.677 Zr
0.035 0.965 0.250 Zr
0.512 0.754 0.995 Zr
0.488 0.246 0.005 Zr
0.965 0.035 0.750 Zr
0.474 0.985 0.323 Zr
0.754 0.512 0.495 Zr
0.985 0.474 0.823 Zr
0.000 0.000 0.000 Cu
0.000 0.000 0.500 Cu
0.552 0.448 0.250 Pd
0.448 0.552 0.750 Pd
```

***

Entry 2:
Th2Pd2Pt3: optimized geometry, PBE.

## Properties
For the calculated total energy, the calculation gives -50.1 eV for the cell shown. The energy relative to the elements is -969 meV per atom.

The structure in POSCAR format:
```
Th2Pd2Pt3
1.0
4.210 0.000 0.000
-2.105 4.037 -2.654
0.000 -0.824 9.309
Th Pd Pt
2 2 3
direct
0.427 0.855 0.231 Th
0.573 0.145 0.769 Th
0.228 0.457 0.389 Pd
0.772 0.543 0.611 Pd
0.000 0.000 0.500 Pt
0.676 0.352 0.146 Pt
0.324 0.648 0.854 Pt
```

***

Entry 3:
GeBTe2: optimized geometry, PBE.

## Properties
For the calculated total energy, the calculation gives -14.7 eV for the cell shown. For the raw formation energy, the calculation gives 0.72 eV per atom.

The structure in POSCAR format:
```
GeBTe2
1.0
2.689 0.000 7.086
-1.344 2.329 7.086
-1.344 -2.329 7.086
Ge Te B
1 2 1
direct
0.500 0.500 0.500 Ge
0.097 0.097 0.097 Te
0.903 0.903 0.903 Te
0.000 0.000 0.000 B
```

***

What is the formula in the first record?
Zr5CuPd

***

Look up the calculated total energy of the third one.
-14.7 eV for the cell shown